First-principles (PBE-GGA) data for a geometry-optimized ThGa2Cu2Pt structure, as listed in Alexandria. Values from VASP.

Values from the calculation:
The total energy is -4.72 eV per atom. As for the density of states at the Fermi level: 4.6 states/eV/f.u. As for the magnetization: 0.00 μB/atom. The value obtained for the formation energy is -0.10 eV per atom.

Cell and atoms, written as Quantum ESPRESSO input:
```
&SYSTEM
  ibrav = 0, nat = 6, ntyp = 4
/
ATOMIC_SPECIES
Th 232.04 Th.upf
Ga 69.72 Ga.upf
Cu 63.55 Cu.upf
Pt 195.08 Pt.upf
CELL_PARAMETERS angstrom
4.7952 0.0000 0.0000
0.0000 4.7952 0.0000
0.0000 0.0000 5.4483
ATOMIC_POSITIONS crystal
Th 0.0000 0.0000 0.0000
Ga 0.0000 0.5000 0.5000
Ga 0.5000 0.0000 0.5000
Cu 0.5000 0.5000 0.2249
Cu 0.5000 0.5000 0.7751
Pt 0.0000 0.0000 0.5000
```